# 1
AgW3Br7: optimized geometry, PBE.

a b c (Å): 9.687 15.753 9.844
angles (deg): 90.00 118.61 90.00
Fractional coordinates of all 44 atoms:
Br: 0.072 0.618 0.798
Br: 0.220 0.086 0.499
Br: 0.367 0.143 0.933
Br: 0.114 0.193 0.117
W: 0.151 0.440 0.472
W: 0.092 0.037 0.206
W: 0.908 0.537 0.294
Br: 0.375 0.499 0.741
W: 0.869 0.096 0.937
Br: 0.306 0.735 0.649
Ag: 0.574 0.789 0.407
Br: 0.190 0.927 0.828
Ag: 0.426 0.211 0.593
Br: 0.633 0.643 0.567
Br: 0.694 0.265 0.351
Ag: 0.426 0.289 0.093
Br: 0.694 0.235 0.851
Br: 0.375 0.001 0.241
Br: 0.928 0.118 0.702
Ag: 0.574 0.711 0.907
W: 0.908 0.963 0.794
W: 0.849 0.560 0.528
W: 0.869 0.404 0.437
Br: 0.780 0.914 0.501
Br: 0.625 0.501 0.259
Br: 0.886 0.693 0.383
Br: 0.928 0.382 0.202
Br: 0.886 0.807 0.883
W: 0.151 0.060 0.972
Br: 0.072 0.882 0.298
Br: 0.190 0.573 0.328
Br: 0.114 0.307 0.617
W: 0.849 0.940 0.028
W: 0.092 0.463 0.706
Br: 0.810 0.073 0.172
Br: 0.780 0.586 0.001
W: 0.131 0.596 0.563
W: 0.131 0.904 0.063
Br: 0.633 0.857 0.067
Br: 0.367 0.357 0.433
Br: 0.810 0.427 0.672
Br: 0.220 0.414 0.999
Br: 0.625 0.999 0.759
Br: 0.306 0.765 0.149

Summary:
Volume in Å³ per cell: 1318.6
Calculated total energy in eV per atom: -5.305



# 2
YCuSnS3: optimized geometry, PBE.

a b c (Å): 8.983 8.983 7.873
angles (deg): 103.35 103.35 24.96
Fractional coordinates of all 12 atoms:
Y: 0.838 0.838 0.419
S: 0.329 0.329 0.176
S: 0.324 0.324 0.653
S: 0.000 0.000 0.500
S: 0.500 0.500 0.000
Cu: 0.537 0.537 0.706
S: 0.676 0.676 0.347
S: 0.671 0.671 0.824
Cu: 0.463 0.463 0.294
Y: 0.162 0.162 0.581
Sn: 0.124 0.124 0.064
Sn: 0.876 0.876 0.936

Summary:
Volume in Å³ per cell: 260.5
Calculated total energy in eV per atom: -5.413



# 3
Hf2Nb4Cu3N3: optimized geometry, PBE.

a b c (Å): 5.433 5.433 13.598
angles (deg): 101.41 101.41 60.01
Fractional coordinates of all 24 atoms:
Hf: 0.463 0.624 0.389
N: 0.196 0.652 0.500
N: 0.348 0.804 0.000
Hf: 0.376 0.537 0.111
Nb: 0.969 0.808 0.916
Hf: 0.537 0.376 0.611
Cu: 0.973 0.027 0.250
Nb: 0.137 0.305 0.416
Cu: 0.027 0.973 0.750
Nb: 0.695 0.863 0.084
Cu: 0.861 0.582 0.250
Cu: 0.139 0.418 0.750
N: 0.500 0.000 0.500
Hf: 0.624 0.463 0.889
Cu: 0.418 0.139 0.250
Cu: 0.582 0.861 0.750
N: 0.804 0.348 0.500
N: 0.652 0.196 0.000
Nb: 0.031 0.192 0.084
Nb: 0.192 0.031 0.584
Nb: 0.863 0.695 0.584
N: 0.000 0.500 0.000
Nb: 0.305 0.137 0.916
Nb: 0.808 0.969 0.416

Summary:
Volume in Å³ per cell: 338.4
Calculated total energy in eV per atom: -8.648



# 4
NaLaCoSe3: optimized geometry, PBE.

a b c (Å): 11.611 4.188 12.111
angles (deg): 90.00 90.00 90.00
Site moments in Bohr magnetons follow the coordinates.
Fractional coordinates of all 24 atoms:
Se: 0.439 0.750 0.853  0.12
La: 0.521 0.750 0.321  0.05
Se: 0.118 0.750 0.942  0.11
La: 0.979 0.250 0.821  0.05
Se: 0.787 0.750 0.308  0.18
Na: 0.832 0.250 0.494  0.00
Se: 0.618 0.750 0.558  0.11
La: 0.021 0.750 0.179  0.05
Na: 0.168 0.750 0.506  0.00
Co: 0.746 0.750 0.711  2.10
La: 0.479 0.250 0.679  0.05
Se: 0.382 0.250 0.442  0.11
Co: 0.754 0.250 0.211  2.11
Se: 0.213 0.250 0.692  0.18
Se: 0.882 0.250 0.058  0.11
Se: 0.713 0.250 0.808  0.18
Se: 0.287 0.750 0.192  0.18
Na: 0.668 0.750 0.994  0.00
Co: 0.254 0.250 0.289  2.11
Na: 0.332 0.250 0.006  0.00
Se: 0.061 0.250 0.353  0.12
Co: 0.246 0.750 0.789  2.11
Se: 0.561 0.250 0.147  0.12
Se: 0.939 0.750 0.647  0.12

Summary:
Polymorph energy (0 for the lowest one) in meV per atom: 0
Volume in Å³ per cell: 588.8
Calculated total energy in eV per atom: -5.096



# 5
Y4FeAsC2: optimized geometry, PBE.

a b c (Å): 3.625 3.625 14.135
angles (deg): 90.00 90.00 120.00
Site moments in Bohr magnetons follow the coordinates.
Fractional coordinates of all 8 atoms:
As: 0.000 0.000 0.000  -0.01
Y: 0.667 0.333 0.849  -0.02
C: 0.333 0.667 0.751  0.02
Y: 0.000 0.000 0.656  -0.12
Y: 0.000 0.000 0.344  -0.12
Y: 0.667 0.333 0.151  -0.02
Fe: 0.667 0.333 0.500  2.73
C: 0.333 0.667 0.249  0.02

Summary:
Volume in Å³ per cell: 160.8
Calculated total energy in eV per atom: -7.434



# 6
CsPaSb: optimized geometry, PBE.

a b c (Å): 5.417 5.417 5.417
angles (deg): 60.00 60.00 60.00
Fractional coordinates of all 3 atoms:
Cs: 0.250 0.250 0.250
Pa: 0.000 0.000 0.000
Sb: 0.750 0.750 0.750

Summary:
Polymorph energy (0 for the lowest one) in meV per atom: 0
Volume in Å³ per cell: 112.4
Calculated total energy in eV per atom: -4.052



# 7
DyPaNi: optimized geometry, PBE.

a b c (Å): 4.645 4.645 4.645
angles (deg): 60.00 60.00 60.00
Fractional coordinates of all 3 atoms:
Dy: 0.000 0.000 0.000
Pa: 0.500 0.500 0.500
Ni: 0.250 0.250 0.250

Summary:
Polymorph energy (0 for the lowest one) in meV per atom: 0
Volume in Å³ per cell: 70.9
Energy of formation in eV/atom: 0.17
Calculated total energy in eV per atom: -6.381



# 8
HoEr2Hg: optimized geometry, PBE.

a b c (Å): 5.392 6.714 6.714
angles (deg): 65.05 90.00 90.00
Fractional coordinates of all 8 atoms:
Er: 0.500 0.162 0.660
Er: 0.000 0.847 0.847
Ho: 0.500 0.655 0.655
Hg: 0.000 0.337 0.839
Ho: 0.000 0.345 0.345
Er: 0.500 0.155 0.155
Er: 0.500 0.660 0.162
Hg: 0.000 0.839 0.337

Summary:
Polymorph energy (0 for the lowest one) in meV per atom: 99
Volume in Å³ per cell: 220.4
Energy of formation in eV/atom: -0.10
Calculated total energy in eV per atom: -3.601



# 9
Sr2YPtS6: optimized geometry, PBE.

a b c (Å): 6.253 6.796 6.894
angles (deg): 66.39 65.33 65.74
Fractional coordinates of all 10 atoms:
S: 0.659 0.218 0.350
S: 0.126 0.332 0.287
Pt: 0.000 0.000 0.500
S: 0.874 0.668 0.713
S: 0.243 0.851 0.181
S: 0.341 0.782 0.650
Y: 0.500 0.500 0.000
Sr: 0.755 0.785 0.244
S: 0.757 0.149 0.819
Sr: 0.245 0.215 0.756

Summary:
Polymorph energy (0 for the lowest one) in meV per atom: 0
Volume in Å³ per cell: 233.2
Calculated total energy in eV per atom: -5.321



# 10
Y2ErAl3AgIr2: optimized geometry, PBE.

a b c (Å): 4.132 7.037 7.037
angles (deg): 119.21 90.00 90.00
Fractional coordinates of all 9 atoms:
Al: 0.500 0.998 0.255
Er: 0.000 0.419 0.419
Ag: 0.000 0.005 0.005
Y: 0.000 0.581 0.000
Ir: 0.500 0.660 0.336
Al: 0.500 0.255 0.998
Y: 0.000 0.000 0.581
Al: 0.500 0.747 0.747
Ir: 0.500 0.336 0.660

Summary:
Volume in Å³ per cell: 178.6
Calculated total energy in eV per atom: -6.191



# 11
RbAuSe: optimized geometry, PBE.

a b c (Å): 7.072 5.390 5.390
angles (deg): 78.68 90.00 90.00
Fractional coordinates of all 6 atoms:
Se: 0.000 0.796 0.796
Se: 0.500 0.204 0.204
Au: 0.250 0.000 0.000
Au: 0.750 0.000 0.000
Rb: 0.500 0.630 0.630
Rb: 0.000 0.369 0.369

Summary:
Volume in Å³ per cell: 201.5
Calculated total energy in eV per atom: -3.326



# 12
ErPaHg: optimized geometry, PBE.

a b c (Å): 5.042 5.042 5.042
angles (deg): 60.00 60.00 60.00
Site moments in Bohr magnetons follow the coordinates.
Fractional coordinates of all 3 atoms:
Hg: 0.000 0.000 0.000  0.01
Er: 0.250 0.250 0.250  0.39
Pa: 0.750 0.750 0.750  1.18

Summary:
Volume in Å³ per cell: 90.6
Energy of formation in eV/atom: 0.44
Calculated total energy in eV per atom: -4.341